# 1
Zr2MoSe: optimized geometry, GGA-PBE.

Summary:
Mass density: 5.364 g/cm3
Energy relative to the elements, uncorrected: 0.573 eV per atom
Crystal system: tetragonal

Geometry as extended XYZ:
```
8
Lattice="-2.9455 2.9455 6.3753 2.9455 -2.9455 6.3753 2.9455 2.9455 -6.3753" Properties=species:S:1:pos:R:3 pbc="T T T"
Zr 4.4182 1.3132 -1.5938
Zr 1.3132 1.4727 1.5938
Zr -1.4727 1.6323 4.7815
Zr 1.6323 1.4727 7.9691
Mo 0.0000 0.0000 0.0000
Mo 0.0000 2.9455 3.1877
Se 2.9455 0.0000 3.1877
Se 0.0000 0.0000 6.3753
```


# 2
ZrMoSe: optimized geometry, GGA-PBE.

Summary:
Mass density: 6.785 g/cm3
Energy relative to the elements, uncorrected: 0.572 eV per atom
Energy above the lowest structure with this stoichiometry: 837 meV/atom
Crystal system: cubic

Geometry as extended XYZ:
```
3
Lattice="0.0000 3.1934 3.1934 3.1934 0.0000 3.1934 3.1934 3.1934 0.0000" Properties=species:S:1:pos:R:3 pbc="T T T"
Zr 0.0000 0.0000 0.0000
Mo 1.5967 1.5967 1.5967
Se 4.7902 4.7902 4.7902
```


# 3
Zr2MoSe: optimized geometry, GGA-PBE.

Summary:
Mass density: 7.801 g/cm3
Energy relative to the elements, uncorrected: -0.138 eV per atom
Crystal system: tetragonal

Geometry as extended XYZ:
```
4
Lattice="-2.2246 2.2246 3.8423 2.2246 -2.2246 3.8423 2.2246 2.2246 -3.8423" Properties=species:S:1:pos:R:3 pbc="T T T"
Zr 2.2246 0.0000 1.9211
Zr 0.0000 2.2246 1.9211
Mo 0.0000 0.0000 0.0000
Se 0.0000 0.0000 3.8423
```


# 4
Zr2MoSe: optimized geometry, GGA-PBE.

Summary:
Mass density: 7.634 g/cm3
Energy relative to the elements, uncorrected: -0.477 eV per atom
Crystal system: monoclinic

Geometry as extended XYZ:
```
4
Lattice="3.4462 0.0000 0.0000 0.0000 4.4715 0.0000 -1.7173 0.0000 5.0444" Properties=species:S:1:pos:R:3 pbc="T T T"
Zr 0.0000 0.0000 0.0000
Zr -0.0492 2.2358 2.8806
Mo 1.7552 2.2358 0.4749
Se 1.6990 0.0000 2.2440
```


# 5
ZrMoSe: optimized geometry, GGA-PBE.

Summary:
Mass density: 8.012 g/cm3
Energy relative to the elements, uncorrected: -0.203 eV per atom
Energy above the lowest structure with this stoichiometry: 62 meV/atom
Crystal system: tetragonal

Geometry as extended XYZ:
```
3
Lattice="-1.6194 1.6194 5.2584 1.6194 -1.6194 5.2584 1.6194 1.6194 -5.2584" Properties=species:S:1:pos:R:3 pbc="T T T"
Zr 0.0000 0.0000 0.0000
Mo 0.0000 0.0000 7.1635
Se 0.0000 0.0000 3.1488
```


# 6
Zr2MoSe: optimized geometry, GGA-PBE.

Summary:
Mass density: 7.521 g/cm3
Energy relative to the elements, uncorrected: -0.364 eV per atom
Crystal system: orthorhombic

Geometry as extended XYZ:
```
4
Lattice="1.8167 -2.6163 0.0000 1.8167 2.6163 0.0000 0.0000 0.0000 8.3003" Properties=species:S:1:pos:R:3 pbc="T T T"
Zr 0.0000 0.0000 2.0703
Zr 0.0000 0.0000 6.2299
Mo 1.8167 0.0000 4.1501
Se 1.8167 0.0000 0.0000
```


# 7
Zr2MoSe: optimized geometry, GGA-PBE.

Summary:
Mass density: 7.784 g/cm3
Energy relative to the elements, uncorrected: -0.316 eV per atom
Crystal system: tetragonal

Geometry as extended XYZ:
```
4
Lattice="4.7038 0.0000 0.0000 0.0000 4.7038 0.0000 0.0000 0.0000 3.4455" Properties=species:S:1:pos:R:3 pbc="T T T"
Zr 0.0000 2.3519 0.0000
Zr 2.3519 0.0000 0.0000
Mo 0.0000 0.0000 1.7228
Se 2.3519 2.3519 1.7228
```


# 8
ZrMoSe: optimized geometry, GGA-PBE.

Summary:
Mass density: 7.921 g/cm3
Energy relative to the elements, uncorrected: -0.161 eV per atom
Energy above the lowest structure with this stoichiometry: 104 meV/atom
Crystal system: trigonal

Geometry as extended XYZ:
```
3
Lattice="4.4153 0.0000 0.0000 -2.2077 3.8238 0.0000 0.0000 0.0000 3.3046" Properties=species:S:1:pos:R:3 pbc="T T T"
Zr 0.0000 0.0000 0.0000
Mo 0.0000 2.5492 1.8848
Se 2.2077 1.2746 1.8598
```


# 9
Zr2MoSe: optimized geometry, GGA-PBE.

Summary:
Mass density: 7.456 g/cm3
Energy relative to the elements, uncorrected: -0.055 eV per atom
Crystal system: orthorhombic

Geometry as extended XYZ:
```
4
Lattice="1.8353 -2.5741 0.0000 1.8353 2.5741 0.0000 0.0000 0.0000 8.4233" Properties=species:S:1:pos:R:3 pbc="T T T"
Zr 0.0000 0.0000 0.0000
Zr 1.8353 0.0000 2.5234
Mo 1.8353 0.0000 6.3400
Se 0.0000 0.0000 4.4688
```


# 10
Zr2MoSe: optimized geometry, GGA-PBE.

Summary:
Mass density: 7.293 g/cm3
Energy relative to the elements, uncorrected: -0.073 eV per atom
Crystal system: trigonal

Geometry as extended XYZ:
```
4
Lattice="1.6671 0.9625 8.4512 -1.6671 0.9625 8.4512 0.0000 -1.9250 8.4512" Properties=species:S:1:pos:R:3 pbc="T T T"
Zr 0.0000 0.0000 0.0000
Zr 0.0000 0.0000 5.9973
Mo 0.0000 0.0000 19.1242
Se 0.0000 0.0000 12.3705
```


# 11
ZrMoSe: optimized geometry, GGA-PBE.

Summary:
Mass density: 7.515 g/cm3
Energy relative to the elements, uncorrected: -0.115 eV per atom
Energy above the lowest structure with this stoichiometry: 150 meV/atom
Crystal system: trigonal

Geometry as extended XYZ:
```
3
Lattice="3.4331 0.0000 0.0000 -1.7166 2.9732 0.0000 0.0000 0.0000 5.7607" Properties=species:S:1:pos:R:3 pbc="T T T"
Zr 0.0000 0.0000 0.0000
Mo 1.7166 0.9911 2.0006
Se 0.0000 1.9821 3.7671
```


# 12
ZrMo4Se: optimized geometry, GGA-PBE.

Summary:
Mass density: 8.557 g/cm3
Energy relative to the elements, uncorrected: 0.280 eV per atom
Crystal system: cubic

Geometry as extended XYZ:
```
6
Lattice="0.0000 3.7738 3.7738 3.7738 0.0000 3.7738 3.7738 3.7738 0.0000" Properties=species:S:1:pos:R:3 pbc="T T T"
Zr 0.0000 0.0000 0.0000
Mo 2.8332 2.8332 2.8332
Mo 4.7144 4.7144 2.8332
Mo 4.7144 2.8332 4.7144
Mo 2.8332 4.7144 4.7144
Se 5.6607 5.6607 5.6607
```


# 13
Zr2MoSe: optimized geometry, GGA-PBE.

Summary:
Mass density: 7.313 g/cm3
Energy relative to the elements, uncorrected: -0.453 eV per atom
Crystal system: trigonal

Geometry as extended XYZ:
```
4
Lattice="1.7221 0.9943 7.8979 -1.7221 0.9943 7.8979 0.0000 -1.9885 7.8979" Properties=species:S:1:pos:R:3 pbc="T T T"
Zr 0.0000 0.0000 5.9081
Zr 0.0000 0.0000 17.7857
Mo 0.0000 0.0000 0.0000
Se 0.0000 0.0000 11.8469
```


# 14
Zr2MoSe: optimized geometry, GGA-PBE.

Summary:
Mass density: 7.508 g/cm3
Energy relative to the elements, uncorrected: -0.326 eV per atom
Crystal system: orthorhombic

Geometry as extended XYZ:
```
4
Lattice="-1.6747 2.1776 5.4184 1.6747 -2.1776 5.4184 1.6747 2.1776 -5.4184" Properties=species:S:1:pos:R:3 pbc="T T T"
Zr 0.0000 0.0000 0.0000
Zr 0.0000 2.1776 2.5667
Mo 1.6747 0.0000 2.5695
Se 0.0000 0.0000 4.6225
```


# 15
ZrMoSe4: optimized geometry, GGA-PBE.

Summary:
Mass density: 6.934 g/cm3
Energy relative to the elements, uncorrected: 0.833 eV per atom
Crystal system: cubic

Geometry as extended XYZ:
```
6
Lattice="0.0000 3.9198 3.9198 3.9198 0.0000 3.9198 3.9198 3.9198 0.0000" Properties=species:S:1:pos:R:3 pbc="T T T"
Zr 0.0000 0.0000 0.0000
Mo 5.8797 5.8797 5.8797
Se 2.9425 2.9425 2.9425
Se 4.8971 4.8971 2.9425
Se 4.8971 2.9425 4.8971
Se 2.9425 4.8971 4.8971
```


# 16
Zr2MoSe: optimized geometry, GGA-PBE.

Summary:
Mass density: 7.885 g/cm3
Energy relative to the elements, uncorrected: 0.098 eV per atom
Crystal system: cubic

Geometry as extended XYZ:
```
4
Lattice="0.0000 3.3510 3.3510 3.3510 0.0000 3.3510 3.3510 3.3510 0.0000" Properties=species:S:1:pos:R:3 pbc="T T T"
Zr 0.0000 0.0000 0.0000
Zr 1.6755 1.6755 1.6755
Mo 3.3510 3.3510 3.3510
Se 5.0265 5.0265 5.0265
```


# 17
ZrMoSe: optimized geometry, GGA-PBE.

Summary:
Mass density: 7.797 g/cm3
Energy relative to the elements, uncorrected: -0.265 eV per atom
Energy above the lowest structure with this stoichiometry: 0 meV/atom
Crystal system: hexagonal

Geometry as extended XYZ:
```
6
Lattice="3.3392 0.0000 0.0000 -1.6696 2.8918 0.0000 0.0000 0.0000 11.7383" Properties=species:S:1:pos:R:3 pbc="T T T"
Zr 0.0000 0.0000 2.0467
Zr 0.0000 0.0000 9.6917
Mo 0.0000 0.0000 5.8692
Mo 0.0000 1.9279 0.0000
Se 0.0000 1.9279 4.1209
Se 0.0000 1.9279 7.6174
```


# 18
Zr2MoSe: optimized geometry, GGA-PBE.

Summary:
Mass density: 7.692 g/cm3
Energy relative to the elements, uncorrected: -0.493 eV per atom
Crystal system: tetragonal

Geometry as extended XYZ:
```
4
Lattice="3.4605 0.0000 0.0000 0.0000 3.4605 0.0000 0.0000 0.0000 6.4420" Properties=species:S:1:pos:R:3 pbc="T T T"
Zr 0.0000 0.0000 1.5330
Zr 0.0000 0.0000 4.9090
Mo 1.7302 1.7302 0.0000
Se 1.7302 1.7302 3.2210
```


# 19
Si2Mo: optimized geometry, GGA-PBE.

Summary:
Mass density: 6.202 g/cm3
Energy relative to the elements, uncorrected: -0.504 eV per atom
Crystal system: tetragonal

Geometry as extended XYZ:
```
3
Lattice="-1.6085 1.6085 3.9353 1.6085 -1.6085 3.9353 1.6085 1.6085 -3.9353" Properties=species:S:1:pos:R:3 pbc="T T T"
Si 0.0000 0.0000 1.2988
Si 0.0000 0.0000 6.5718
Mo 0.0000 0.0000 3.9353
```


# 20
SiMo3: optimized geometry, GGA-PBE.

Summary:
Mass density: 8.518 g/cm3
Energy relative to the elements, uncorrected: 0.087 eV per atom
Energy above the lowest structure with this stoichiometry: 412 meV/atom
Crystal system: hexagonal

Geometry as extended XYZ:
```
4
Lattice="2.9490 0.0000 0.0000 -1.4745 2.5539 0.0000 0.0000 0.0000 8.1769" Properties=species:S:1:pos:R:3 pbc="T T T"
Si 0.0000 0.0000 0.0000
Mo 0.0000 0.0000 4.0884
Mo 0.0000 1.7026 1.9387
Mo 0.0000 1.7026 6.2382
```